Computed, not measured: Y3Al7Au2 after structural relaxation at the PBE level of DFT.

abc: 4.2433 4.2869 13.6436
angles: 99.03 90.00 90.00
Last column: nearest neighbours and their distance in Å.
Atoms (fractional coordinates):
Al 0.5000 0.9202 0.8396  2 Au 2.57
Al 0.0000 0.0000 0.0000  4 Y 3.02, 8 Al 3.03-3.04
Au 0.5000 0.6319 0.2655  5 Al 2.49-2.57
Al 0.5000 0.7253 0.4505  1 Au 2.49, 2 Al 2.52
Y 0.0000 0.1842 0.3687  10 Al 3.21-3.54, 4 Au 3.32
Y 0.0000 0.8158 0.6313  10 Al 3.21-3.54, 4 Au 3.32
Y 0.5000 0.5000 0.0000  12 Al 3.02-3.04
Al 0.0000 0.5804 0.1600  2 Au 2.55
Al 0.5000 0.2747 0.5495  1 Au 2.49, 2 Al 2.52
Al 0.5000 0.0798 0.1604  2 Au 2.57
Al 0.0000 0.4196 0.8400  2 Au 2.55
Au 0.5000 0.3681 0.7345  5 Al 2.49-2.57

Summary:
Formation enthalpy at 0 K = -6.7 eV per formula unit
Space-group type = P2/m, No. 10
Magnetic moment = 0.000 μB per atom

Computed, not measured: SnBi2Pb after structural relaxation at the PBE level of DFT.

abc: 5.4760 5.4767 5.4780
angles: 113.02 113.01 102.57
Last column: nearest neighbours and their distance in Å.
Atoms (fractional coordinates):
Sn 0.7501 0.2500 0.5001  2 Pb 3.43, 8 Bi 3.47
Bi 0.0000 0.0000 0.0000  2 Bi 3.43, 4 Pb 3.47, 4 Sn 3.47
Pb 0.2499 0.7500 0.4999  2 Sn 3.43, 8 Bi 3.47
Bi 0.5000 0.5000 0.0000  2 Bi 3.43, 4 Pb 3.47, 4 Sn 3.47

Summary:
Distance to the lowest polymorph of the same formula = 0.010 eV per atom
Formation enthalpy at 0 K = 0.3 eV per formula unit
Space-group type = I4/mmm, No. 139
Magnetic moment = 0.000 μB per atom